Entry 1:
Ba2BiSb2Pb2: optimized geometry, PBE-GGA.

POSCAR file:
```
Ba2BiSb2Pb2
1.0
-4.7092 -1.1447 0.0915
-1.3369 -4.3037 5.7433
-3.6235 5.1266 6.0319
Sb Ba Pb Bi
2 2 2 1
Direct
0.1272 0.3636 0.3819
0.8728 0.6364 0.6181
0.4282 0.8349 0.3087
0.5718 0.1651 0.6913
0.7417 0.3844 0.1321
0.2583 0.6156 0.8679
0.0000 0.0000 0.0000
```

Computed properties:
- SG: No. 12
- Energy relative to the elements, uncorrected: -0.497 eV per atom

***

Entry 2:
MgInPb2: optimized geometry, PBE-GGA.

POSCAR file:
```
MgInPb2
1.0
3.4104 -0.0521 0.0000
-1.4278 3.0975 0.0000
0.0000 0.0000 10.8218
Mg Pb In
1 2 1
Direct
0.5000 0.5000 0.7436
0.0000 0.0000 0.9798
0.5000 0.5000 0.2589
0.0000 0.0000 0.5177
```

Computed properties:
- SG: No. 35
- Formation energy from the elements: 0.019 eV/atom

***

Entry 3:
Y8HoSc4: optimized geometry, PBE-GGA.

POSCAR file:
```
Y8HoSc4
1.0
-4.4331 2.9997 -4.5693
5.9809 -2.9134 -2.2955
-3.3609 -9.0552 2.7358
Y Sc Ho
8 4 1
Direct
0.4965 0.2483 0.2821
0.9661 0.7517 0.7178
0.4258 0.2129 0.6386
0.9661 0.2144 0.7178
0.0339 0.2483 0.2822
0.5035 0.7517 0.7179
0.5742 0.7871 0.3614
0.0339 0.7856 0.2821
0.0000 0.5000 0.0000
0.0000 0.0000 0.0000
0.5000 0.0000 0.0000
0.5000 0.5000 0.0000
0.0000 0.5000 0.5000
```

Computed properties:
- SG: No. 166
- Formation energy from the elements: 0.266 eV/atom

***

Entry 4:
LiYCl2: optimized geometry, PBE-GGA.

POSCAR file:
```
LiYCl2
1.0
-3.2773 -0.5354 -0.4708
0.7021 -1.3078 -3.3996
0.3726 -6.3846 4.6664
Cl Li Y
2 1 1
Direct
0.0000 0.8969 0.0501
0.0000 0.6031 0.4499
0.5000 0.2500 0.2500
0.5000 0.7500 0.7500
```

Computed properties:
- SG: No. 10
- Energy relative to the elements, uncorrected: -1.377 eV per atom

***

Entry 5:
GaHPd3: optimized geometry, PBE-GGA.

POSCAR file:
```
GaHPd3
1.0
-4.6655 2.2248 -8.8981
-7.0747 -0.8321 -1.2797
-2.5229 1.7738 6.5475
H Pd Ga
4 12 4
Direct
0.7500 0.4409 0.9409
0.2500 0.5591 0.0591
0.7500 0.1792 0.6792
0.2500 0.8208 0.3208
0.5686 0.8839 0.7993
0.9120 0.0252 0.1089
0.5899 0.3420 0.2686
0.0880 0.9748 0.8911
0.0899 0.2314 0.1580
0.4314 0.1161 0.2007
0.4120 0.3911 0.4748
0.9314 0.2993 0.3839
0.5880 0.6089 0.5252
0.4101 0.6580 0.7314
0.9101 0.7686 0.8420
0.0686 0.7007 0.6161
0.4332 0.8415 0.0093
0.9332 0.4907 0.6585
0.5668 0.1585 0.9907
0.0668 0.5093 0.3415
```

Computed properties:
- SG: No. 15

***

Entry 6:
CsLaHg: optimized geometry, PBE-GGA.

POSCAR file:
```
CsLaHg
1.0
-0.8196 -1.7951 3.6328
1.9311 -3.4314 -1.2599
14.0008 5.6874 5.9689
Hg Cs La
2 2 2
Direct
0.5000 0.5000 0.0277
0.0000 0.0000 0.5277
0.5000 0.5000 0.3529
0.0000 0.0000 0.8529
0.5000 0.5000 0.6091
0.0000 0.0000 0.1091
```

Computed properties:
- SG: No. 107
- Formation energy from the elements: -0.056 eV/atom

***

Entry 7:
Ta2AlRhCl: optimized geometry, PBE-GGA.

POSCAR file:
```
Ta2AlRhCl
1.0
4.5082 0.0000 0.0000
0.0000 4.3871 0.0000
0.0000 0.0000 4.5082
Al Cl Rh Ta
1 1 1 2
Direct
0.5000 0.5000 0.5000
0.0000 0.0000 0.0000
0.0000 0.5000 0.0000
0.5000 0.0000 0.0000
0.0000 0.0000 0.5000
```

Computed properties:
- SG: No. 123
- Energy relative to the elements, uncorrected: 0.647 eV per atom

***

Entry 8:
KNaSnF6: optimized geometry, PBE-GGA.

POSCAR file:
```
KNaSnF6
1.0
6.0778 0.0000 0.0000
0.0000 8.2817 0.0000
0.0000 0.0000 12.0446
F K Na Sn
24 4 4 4
Direct
0.9522 0.2309 0.1421
0.4522 0.7309 0.3579
0.5478 0.2309 0.6421
0.7806 0.9587 0.0423
0.2806 0.4587 0.4577
0.3983 0.4519 0.2202
0.2113 0.0376 0.9915
0.3316 0.0629 0.2102
0.1509 0.7699 0.1258
0.6509 0.2699 0.3742
0.6017 0.9519 0.7798
0.0478 0.7309 0.8579
0.2887 0.0376 0.4915
0.7887 0.5376 0.0085
0.7113 0.5376 0.5085
0.6684 0.5629 0.7898
0.8316 0.5629 0.2898
0.2194 0.4587 0.9577
0.1017 0.4519 0.7202
0.8983 0.9519 0.2798
0.8491 0.2699 0.8742
0.3491 0.7699 0.6258
0.1684 0.0629 0.7102
0.7194 0.9587 0.5423
0.9631 0.2563 0.5440
0.4631 0.7563 0.9560
0.5369 0.2563 0.0440
0.0369 0.7563 0.4560
0.4463 0.5024 0.6478
0.9463 0.0024 0.8522
0.0537 0.5024 0.1478
0.5537 0.0024 0.3522
0.4501 0.9995 0.6363
0.0499 0.9995 0.1363
0.5499 0.4995 0.3637
0.9501 0.4995 0.8637
```

Computed properties:
- SG: No. 33
- Energy relative to the elements, uncorrected: -2.742 eV per atom

***

Entry 9:
ScTcBr2O: optimized geometry, PBE-GGA.

POSCAR file:
```
ScTcBr2O
1.0
5.3620 0.0000 0.0000
0.0000 3.6914 0.0000
0.0000 0.0000 5.3620
O Br Sc Tc
1 2 1 1
Direct
0.0000 0.5000 0.0000
0.0000 0.0000 0.5000
0.5000 0.0000 0.0000
0.5000 0.5000 0.5000
0.0000 0.0000 0.0000
```

Computed properties:
- SG: No. 123
- Energy relative to the elements, uncorrected: -0.425 eV per atom

***

Entry 10:
LaFeMoP2: optimized geometry, PBE-GGA.

POSCAR file:
```
LaFeMoP2
1.0
-3.6382 -0.6859 -1.2070
1.2187 -3.1994 -1.8553
0.2001 -1.2631 6.3962
P Fe Mo La
2 1 1 1
Direct
0.6360 0.6360 0.2721
0.3640 0.3640 0.7279
0.2500 0.7500 0.5000
0.7500 0.2500 0.5000
0.0000 0.0000 0.0000
```

Computed properties:
- SG: No. 119
- Formation energy from the elements: -0.813 eV/atom

***

Entry 11:
CsLaAgTe3: optimized geometry, PBE-GGA.

POSCAR file:
```
CsLaAgTe3
1.0
-1.0084 3.2812 3.3424
-8.3667 -1.8878 -4.1049
-1.7946 -8.0476 7.3589
Te La Ag Cs
6 2 2 2
Direct
0.6093 0.2186 0.4160
0.9088 0.8177 0.2500
0.0912 0.1823 0.7500
0.6093 0.2186 0.0840
0.3907 0.7814 0.5840
0.3907 0.7814 0.9160
0.0000 0.0000 0.5000
0.0000 0.0000 0.0000
0.5072 0.0144 0.7500
0.4928 0.9856 0.2500
0.2462 0.4923 0.2500
0.7538 0.5077 0.7500
```

Computed properties:
- SG: No. 63
- Energy relative to the elements, uncorrected: -0.978 eV per atom

***

Entry 12:
LaTa2SnBr: optimized geometry, PBE-GGA.

POSCAR file:
```
LaTa2SnBr
1.0
-1.5397 -0.6399 -4.9963
-5.3352 -2.8566 2.0100
-2.4398 4.6654 0.1544
Ta Br Sn La
2 1 1 1
Direct
0.5000 0.0000 0.0000
0.0000 0.0000 0.5000
0.5000 0.5000 0.5000
0.0000 0.0000 0.0000
0.0000 0.5000 0.0000
```

Computed properties:
- SG: No. 123
- Energy relative to the elements, uncorrected: 1.298 eV per atom

***

Entry 13:
DyErH: optimized geometry, PBE-GGA.

POSCAR file:
```
DyErH
1.0
5.8812 0.0000 0.1953
0.0000 3.3017 0.0000
-0.0498 -1.6509 6.4912
H Er Dy
2 2 2
Direct
0.4105 0.5781 0.1562
0.5895 0.4219 0.8438
0.2308 0.1928 0.3857
0.7692 0.8072 0.6143
0.7292 0.0699 0.1398
0.2708 0.9301 0.8602
```

Computed properties:
- SG: No. 12

***

Entry 14:
Pm3AlAg: optimized geometry, PBE-GGA.

POSCAR file:
```
Pm3AlAg
1.0
-1.9128 2.8338 -7.6710
-0.6228 -4.1876 -7.2540
-10.2217 -1.7824 1.6082
Pm Ag Al
12 4 4
Direct
0.7589 0.1473 0.0774
0.8563 0.7639 0.8300
0.3912 0.3642 0.8396
0.7639 0.8564 0.3300
0.3642 0.3914 0.3396
0.6088 0.6358 0.1604
0.2361 0.1436 0.6700
0.8527 0.2410 0.4226
0.1437 0.2361 0.1700
0.6358 0.6086 0.6604
0.2411 0.8527 0.9226
0.1473 0.7590 0.5774
0.8497 0.1503 0.7500
0.0000 0.5000 0.5000
0.1503 0.8497 0.2500
0.5000 0.0000 0.0000
0.1061 0.6299 0.0875
0.3702 0.8938 0.4125
0.6298 0.1062 0.5875
0.8939 0.3701 0.9125
```

Computed properties:
- SG: No. 15
- Formation energy from the elements: -0.113 eV/atom

***

Entry 15:
Al2Ga3Ag6: optimized geometry, PBE-GGA.

POSCAR file:
```
Al2Ga3Ag6
1.0
-2.9624 0.2955 -0.2470
-1.8082 -2.1094 1.0978
-2.2215 11.2670 22.0557
Ag Ga Al
6 3 2
Direct
0.0919 0.0919 0.7244
0.9081 0.9081 0.2756
0.3639 0.3639 0.9084
0.8171 0.8171 0.5487
0.6361 0.6361 0.0916
0.1829 0.1829 0.4513
0.2724 0.2724 0.1829
0.7276 0.7276 0.8171
0.0000 0.0000 0.0000
0.5454 0.5454 0.3639
0.4546 0.4546 0.6361
```

Computed properties:
- SG: No. 166
- Formation energy from the elements: -0.005 eV/atom

***

Entry 16:
LiZnPb: optimized geometry, PBE-GGA.

POSCAR file:
```
LiZnPb
1.0
-1.3900 -4.4329 0.5004
3.4885 1.0379 -2.9302
2.2982 -0.4289 2.5842
Li Pb Zn
1 1 1
Direct
0.0000 0.0000 0.9557
0.6667 0.3333 0.4213
0.3333 0.6667 0.6230
```

Computed properties:
- SG: No. 156
- Formation energy from the elements: -0.050 eV/atom

***

Entry 17:
Y2SnSb2: optimized geometry, PBE-GGA.

POSCAR file:
```
Y2SnSb2
1.0
4.1866 0.0000 0.0000
0.0000 4.1866 0.0000
2.0933 2.0933 8.3154
Sb Sn Y
2 1 2
Direct
0.2500 0.7500 0.5000
0.7500 0.2500 0.5000
0.0000 0.0000 0.0000
0.6046 0.6046 0.7907
0.3954 0.3954 0.2093
```

Computed properties:
- SG: No. 139
- Energy relative to the elements, uncorrected: -0.575 eV per atom

***

Entry 18:
Ba2MgAsH: optimized geometry, PBE-GGA.

POSCAR file:
```
Ba2MgAsH
1.0
-0.1929 -4.7118 2.8537
4.2488 0.8752 1.7324
-2.2821 2.6672 4.2497
Mg As Ba H
1 1 2 1
Direct
0.5000 0.5000 0.5000
0.0000 0.5000 0.0000
0.5000 0.0000 0.0000
0.0000 0.0000 0.5000
0.0000 0.0000 0.0000
```

Computed properties:
- SG: No. 123

***

Entry 19:
Nd14DySc: optimized geometry, PBE-GGA.

POSCAR file:
```
Nd14DySc
1.0
7.2328 0.9705 0.0000
-0.9703 7.2328 0.0000
0.0000 0.0000 10.3016
Nd Sc Dy
14 1 1
Direct
0.3749 0.1249 0.5000
0.1227 0.8773 0.2450
0.8751 0.6251 0.5000
0.6273 0.3727 0.7546
0.6271 0.8771 0.2453
0.1229 0.3729 0.2453
0.1229 0.3729 0.7547
0.3753 0.1253 0.0000
0.1227 0.8773 0.7550
0.8747 0.6247 0.0000
0.3749 0.6251 0.5000
0.8751 0.1249 0.5000
0.6271 0.8771 0.7547
0.6273 0.3727 0.2454
0.8750 0.1250 0.0000
0.3749 0.6251 0.0000
```

Computed properties:
- SG: No. 123
- Formation energy from the elements: 0.022 eV/atom

***

Entry 20:
Sn2Ge2O7: optimized geometry, PBE-GGA.

POSCAR file:
```
Sn2Ge2O7
1.0
-0.5026 -2.0369 -6.5827
1.3476 -6.7828 0.9289
-12.4485 -4.7811 0.8709
O Sn Ge
28 8 8
Direct
0.6255 0.7395 0.6824
0.3745 0.2605 0.3176
0.3971 0.5910 0.1431
0.8462 0.2175 0.0111
0.0610 0.9723 0.1778
0.1964 0.4292 0.4918
0.6250 0.5672 0.3312
0.8932 0.6227 0.8634
0.4117 0.7780 0.4871
0.5535 0.0817 0.7612
0.3750 0.4328 0.6688
0.1538 0.7825 0.9889
0.2408 0.0615 0.6257
0.7592 0.9385 0.3743
0.6029 0.4090 0.8569
0.9666 0.2350 0.3743
0.1068 0.3773 0.1366
0.7208 0.2696 0.2054
0.2136 0.2858 0.8793
0.9188 0.3777 0.7020
0.9390 0.0277 0.8222
0.5883 0.2220 0.5129
0.7864 0.7142 0.1207
0.8036 0.5708 0.5082
0.4465 0.9183 0.2388
0.0812 0.6223 0.2980
0.2792 0.7304 0.7946
0.0334 0.7650 0.6257
0.5562 0.7566 0.8676
0.4438 0.2434 0.1324
0.6676 0.2385 0.3614
0.9188 0.3163 0.8627
0.8531 0.0926 0.6547
0.1469 0.9074 0.3453
0.3324 0.7615 0.6386
0.0812 0.6837 0.1373
0.6462 0.7290 0.4237
0.4334 0.2969 0.8019
0.5666 0.7031 0.1981
0.1508 0.3874 0.3695
0.9426 0.2093 0.1268
0.3538 0.2710 0.5763
0.8492 0.6126 0.6305
0.0574 0.7907 0.8732
```

Computed properties:
- SG: No. 2
- Energy relative to the elements, uncorrected: -1.530 eV per atom

***

Final energy values (in hartree per atom) by entry order: -0.141, -0.107, -0.221, -0.162, -0.174, -0.077, -0.246, -0.173, -0.199, -0.287, -0.147, -0.204, -0.155, -0.157, -0.113, -0.086, -0.206, -0.109, -0.178, -0.230.